[1]
{
  "formula": "LiTlS2",
  "functional": "GGA-PBE",
  "state": "optimized geometry",
  "mass_density_g_cm3": 4.60,
  "raw_formation_energy_kj_per_mol_atoms": -51,
  "cell": [[3.527, -2.036, 0.000], [0.000, 4.072, 0.000], [0.000, 0.000, 6.920]],
  "species": ["Tl", "S", "S", "Li"],
  "frac_coords": [[0.333, 0.667, 0.465], [0.667, 0.333, 0.287], [0.333, 0.667, 0.819], [0.000, 0.000, 0.884]]
}

[2]
{
  "formula": "BaCa2SnN",
  "functional": "GGA-PBE",
  "state": "optimized geometry",
  "mass_density_g_cm3": 4.22,
  "raw_formation_energy_kj_per_mol_atoms": -61,
  "cell": [[5.004, 0.000, 0.000], [0.000, 5.004, 0.000], [0.000, 0.000, 5.504]],
  "species": ["Ba", "Sn", "Ca", "Ca", "N"],
  "frac_coords": [[0.000, 0.000, 0.500], [0.500, 0.500, 0.500], [0.500, 0.000, 0.000], [0.000, 0.500, 0.000], [0.000, 0.000, 0.000]]
}

[3]
{
  "formula": "Tb2NdAg",
  "functional": "GGA-PBE",
  "state": "optimized geometry",
  "mass_density_g_cm3": 7.96,
  "delta_e_f_ev_per_atom": -0.01,
  "de_polymorph_ev_per_atom": 0.115,
  "cell": [[3.602, 0.000, 0.000], [1.801, 3.119, 0.000], [1.801, 1.040, 10.583]],
  "species": ["Tb", "Tb", "Nd", "Ag"],
  "frac_coords": [[0.260, 0.260, 0.220], [0.740, 0.740, 0.780], [0.500, 0.500, 0.500], [0.000, 0.000, 0.000]]
}

[4]
{
  "formula": "Sr2Zn2Cu",
  "functional": "GGA-PBE",
  "state": "optimized geometry",
  "mass_density_g_cm3": 4.51,
  "delta_e_f_ev_per_atom": -0.18,
  "de_polymorph_ev_per_atom": 0.000,
  "cell": [[-0.945, -4.338, -0.341], [2.327, -2.377, -5.281], [8.802, -4.530, 4.165]],
  "species": ["Zn", "Zn", "Zn", "Zn", "Cu", "Cu", "Sr", "Sr", "Sr", "Sr"],
  "frac_coords": [[0.042, 0.329, 0.588], [0.958, 0.671, 0.412], [0.613, 0.894, 0.879], [0.387, 0.106, 0.121], [0.427, 0.824, 0.321], [0.573, 0.176, 0.679], [0.904, 0.301, 0.892], [0.299, 0.760, 0.643], [0.096, 0.699, 0.108], [0.701, 0.240, 0.357]]
}

[5]
{
  "formula": "LaMoAs2",
  "functional": "GGA-PBE",
  "state": "optimized geometry",
  "mass_density_g_cm3": 7.99,
  "delta_e_f_ev_per_atom": -0.39,
  "de_polymorph_ev_per_atom": 0.252,
  "cell": [[0.000, 3.420, 3.420], [3.420, 0.000, 3.420], [3.420, 3.420, 0.000]],
  "species": ["La", "Mo", "As", "As"],
  "frac_coords": [[0.500, 0.500, 0.500], [0.000, 0.000, 0.000], [0.250, 0.250, 0.250], [0.750, 0.750, 0.750]]
}

[6]
{
  "formula": "CsUTe3Rh",
  "functional": "GGA-PBE",
  "state": "optimized geometry",
  "mass_density_g_cm3": 6.68,
  "raw_formation_energy_kj_per_mol_atoms": -66,
  "cell": [[4.177, 0.000, 0.000], [0.000, 10.445, -0.816], [0.000, -4.797, 10.138]],
  "species": ["Rh", "Rh", "Te", "Te", "Te", "Te", "Te", "Te", "Cs", "Cs", "U", "U"],
  "frac_coords": [[0.750, 0.887, 0.373], [0.250, 0.113, 0.627], [0.750, 0.895, 0.134], [0.750, 0.181, 0.516], [0.750, 0.475, 0.145], [0.250, 0.819, 0.484], [0.250, 0.105, 0.866], [0.250, 0.525, 0.855], [0.250, 0.242, 0.253], [0.750, 0.758, 0.747], [0.250, 0.706, 0.174], [0.750, 0.294, 0.826]]
}

[7]
{
  "formula": "Si2AsBr",
  "functional": "GGA-PBE",
  "state": "optimized geometry",
  "mass_density_g_cm3": 4.62,
  "raw_formation_energy_kj_per_mol_atoms": 67,
  "de_polymorph_ev_per_atom": 0.640,
  "cell": [[4.752, 0.000, 0.000], [2.376, 4.116, 0.000], [2.376, 1.372, 3.880]],
  "species": ["Br", "Si", "Si", "As"],
  "frac_coords": [[0.750, 0.750, 0.750], [0.000, 0.000, 0.000], [0.250, 0.250, 0.250], [0.500, 0.500, 0.500]]
}

[8]
{
  "formula": "Sr8N4O",
  "functional": "GGA-PBE",
  "state": "optimized geometry",
  "mass_density_g_cm3": 3.85,
  "raw_formation_energy_kj_per_mol_atoms": -81,
  "cell": [[6.739, 0.000, 3.891], [2.246, 6.354, 3.891], [0.000, 0.000, 7.782]],
  "species": ["N", "N", "N", "N", "Sr", "Sr", "Sr", "Sr", "Sr", "Sr", "Sr", "Sr", "O"],
  "frac_coords": [[0.882, 0.373, 0.373], [0.373, 0.882, 0.373], [0.373, 0.373, 0.373], [0.373, 0.373, 0.882], [0.151, 0.616, 0.616], [0.616, 0.616, 0.151], [0.582, 0.139, 0.139], [0.139, 0.582, 0.139], [0.616, 0.151, 0.616], [0.139, 0.139, 0.582], [0.139, 0.139, 0.139], [0.616, 0.616, 0.616], [0.750, 0.750, 0.750]]
}

[9]
{
  "formula": "SrMg4Pb8",
  "functional": "GGA-PBE",
  "state": "optimized geometry",
  "mass_density_g_cm3": 8.01,
  "delta_e_f_ev_per_atom": -0.12,
  "cell": [[6.242, 0.000, 0.000], [3.121, 7.822, 0.000], [3.121, 0.000, 7.822]],
  "species": ["Pb", "Pb", "Pb", "Pb", "Pb", "Pb", "Pb", "Pb", "Mg", "Mg", "Mg", "Mg", "Sr"],
  "frac_coords": [[0.345, 0.655, 0.655], [0.655, 0.345, 0.345], [0.000, 0.655, 0.345], [0.000, 0.345, 0.655], [0.500, 0.786, 0.214], [0.714, 0.786, 0.786], [0.286, 0.214, 0.214], [0.500, 0.214, 0.786], [0.500, 0.500, 0.000], [0.000, 0.500, 0.000], [0.000, 0.000, 0.500], [0.500, 0.000, 0.500], [0.000, 0.000, 0.000]]
}

[10]
{
  "formula": "GaHg3I2",
  "functional": "GGA-PBE",
  "state": "optimized geometry",
  "mass_density_g_cm3": 7.14,
  "raw_formation_energy_kj_per_mol_atoms": -18,
  "cell": [[-5.784, 2.476, -9.538], [5.959, -4.090, -0.102], [-1.543, -5.821, 3.998]],
  "species": ["Hg", "Hg", "Hg", "Hg", "Hg", "Hg", "Ga", "Ga", "I", "I", "I", "I"],
  "frac_coords": [[0.250, 0.741, 0.259], [0.541, 0.302, 0.280], [0.041, 0.280, 0.302], [0.459, 0.698, 0.720], [0.959, 0.720, 0.698], [0.750, 0.259, 0.741], [0.750, 0.945, 0.055], [0.250, 0.055, 0.945], [0.643, 0.859, 0.342], [0.357, 0.141, 0.658], [0.857, 0.658, 0.141], [0.143, 0.342, 0.859]]
}

[11]
{
  "formula": "PmErAgPd",
  "functional": "GGA-PBE",
  "state": "optimized geometry",
  "mass_density_g_cm3": 9.34,
  "delta_e_f_ev_per_atom": -0.56,
  "de_polymorph_ev_per_atom": 0.011,
  "cell": [[-4.778, 1.023, -1.448], [-1.270, -0.217, -4.930], [-3.007, -3.749, -1.693]],
  "species": ["Er", "Pd", "Pm", "Ag"],
  "frac_coords": [[0.000, 0.000, 0.000], [0.250, 0.250, 0.250], [0.500, 0.500, 0.500], [0.750, 0.750, 0.750]]
}

[12]
{
  "formula": "LaGd2Sn",
  "functional": "GGA-PBE",
  "state": "optimized geometry",
  "mass_density_g_cm3": 7.99,
  "delta_e_f_ev_per_atom": -0.46,
  "de_polymorph_ev_per_atom": 0.000,
  "cell": [[-0.721, -2.361, 4.172], [-1.805, -3.873, -2.504], [4.553, -1.925, -0.303]],
  "species": ["Sn", "La", "Gd", "Gd"],
  "frac_coords": [[0.500, 0.000, 0.000], [0.500, 0.500, 0.500], [0.000, 0.000, 0.500], [0.000, 0.500, 0.000]]
}